#1
An optimized crystal structure of Li3Ga2Rh, computed with PBE.

Unit cell a=5.9587 b=5.9473 c=10.1393 alpha=90.00 beta=106.84 gamma=90.00
Closest atoms and distances in Å follow each position.
Space group C2/c (No. 15)
One atom of each set of equivalent atoms:
1 Li 0.0000 0.1242 0.2500 x4  4 Ga 2.54, 4 Li 2.70
2 Li 0.1627 0.3745 0.0754 x8  4 Li 2.56-2.70, 2 Rh 2.70, 2 Ga 2.73-2.74
3 Ga 0.1782 0.1255 0.6041 x8  2 Rh 2.54, 4 Li 2.54-2.74
4 Rh 0.0000 0.3751 0.7500 x4  4 Ga 2.54, 4 Li 2.70

crystal system = monoclinic



#2
An optimized crystal structure of Li3Ga2Rh, computed with PBE.

Unit cell a=8.3936 b=5.4063 c=8.3984 alpha=90.00 beta=116.20 gamma=90.00
Closest atoms and distances in Å follow each position.
Space group C2/c (No. 15)
One atom of each set of equivalent atoms:
1 Li 0.0000 0.0257 0.2500 x4  6 Li 2.65-2.89, 2 Rh 2.69-2.72, 4 Ga 2.79-2.90
2 Li 0.1769 0.1875 0.5926 x8  3 Li 2.46-2.73, 4 Ga 2.53-2.72, 1 Rh 2.70
3 Ga 0.1485 0.3115 0.0725 x8  5 Li 2.53-2.79, 2 Rh 2.58-2.61, 1 Ga 2.58
4 Rh 0.0000 0.4717 0.7500 x4  4 Ga 2.58-2.61, 6 Li 2.69-2.84

crystal system = monoclinic



Verdict on stability: #2 comes out at the bottom.



#1
An optimized crystal structure of Li2Ga5Rh2, computed with PBE.

Unit cell a=13.1508 b=6.7268 c=6.7337 alpha=90.00 beta=90.00 gamma=90.00
Closest atoms and distances in Å follow each position.
Space group Cmce (No. 64)
One atom of each set of equivalent atoms:
1 Li 0.1996 0.0000 0.0000 x8  7 Ga 2.59-2.75
2 Ga 0.0000 0.0000 0.0000 x4  4 Rh 2.50-2.55, 2 Li 2.62
3 Ga 0.1325 0.1406 0.3551 x16  3 Rh 2.56-2.71, 3 Li 2.59-2.75, 1 Ga 2.72
4 Rh 0.0000 0.1576 0.6634 x8  8 Ga 2.50-2.71

crystal system = orthorhombic



#2
An optimized crystal structure of Li2Ga5Rh2, computed with PBE.

Unit cell a=8.2762 b=14.8197 c=5.3083 alpha=90.00 beta=90.00 gamma=90.00
Closest atoms and distances in Å follow each position.
Space group Imma (No. 74)
One atom of each set of equivalent atoms:
1 Li 0.0000 0.0000 0.0000 x4  4 Ga 2.75, 4 Rh 2.98-3.00
2 Li 0.0000 0.2500 0.0409 x4  2 Ga 2.61-2.70
3 Ga 0.0000 0.2500 0.5328 x4  2 Rh 2.34, 1 Li 2.61
4 Ga 0.2500 0.0835 0.2500 x8  2 Rh 2.47, 2 Ga 2.74, 2 Li 2.75
5 Ga 0.2500 0.1292 0.7500 x8  2 Rh 2.51, 2 Ga 2.74
6 Rh 0.0000 0.0925 0.5020 x8  5 Ga 2.34-2.51

crystal system = orthorhombic



Verdict on stability: #1 comes out at the bottom.



#1
An optimized crystal structure of LiGa2Ru2, computed with PBE.

Unit cell a=4.5473 b=4.5473 c=8.6660 alpha=90.00 beta=90.00 gamma=90.00
Closest atoms and distances in Å follow each position.
Space group I4/mmm (No. 139)
One atom of each set of equivalent atoms:
1 Li 0.0000 0.0000 0.0000 x2  8 Ga 3.14, 10 Ru 3.18-3.42
2 Ga 0.0000 0.5000 0.2500 x4  4 Ru 2.49
3 Ru 0.0000 0.0000 0.3664 x4  1 Ru 2.32, 4 Ga 2.49

crystal system = tetragonal



#2
An optimized crystal structure of LiGa2Ru2, computed with PBE.

Unit cell a=7.4466 b=4.4203 c=4.7733 alpha=90.00 beta=111.28 gamma=90.00
Closest atoms and distances in Å follow each position.
Space group C2/m (No. 12)
One atom of each set of equivalent atoms:
1 Li 0.0000 0.0000 0.0000 x2  6 Ru 2.72, 8 Ga 2.80-3.02
2 Ga 0.2357 0.0000 0.6571 x4  5 Ru 2.54-2.69, 2 Ga 2.72, 1 Li 2.80
3 Ru 0.1075 0.5000 0.7695 x4  1 Ru 2.49, 5 Ga 2.54-2.69, 3 Li 2.72

crystal system = monoclinic



#3
An optimized crystal structure of LiGa2Ru2, computed with PBE.

Unit cell a=7.0616 b=7.0616 c=3.0490 alpha=90.00 beta=90.00 gamma=90.00
Closest atoms and distances in Å follow each position.
Space group P4/mbm (No. 127)
One atom of each set of equivalent atoms:
1 Li 0.0000 0.0000 0.0000 x2  4 Ru 2.74, 2 Li 3.05, 8 Ga 3.06
2 Ga 0.1604 0.3396 0.5000 x4  6 Ru 2.53-2.60
3 Ru 0.1375 0.6375 0.0000 x4  6 Ga 2.53-2.60, 2 Li 2.74, 1 Ru 2.75

crystal system = tetragonal



#4
An optimized crystal structure of LiGa2Ru2, computed with PBE.

Unit cell a=6.7935 b=6.7935 c=3.1816 alpha=90.00 beta=90.00 gamma=90.00
Closest atoms and distances in Å follow each position.
Space group P4/mbm (No. 127)
One atom of each set of equivalent atoms:
1 Li 0.0000 0.0000 0.0000 x2  4 Ga 2.62
2 Ga 0.1400 0.3600 0.0000 x4  6 Ru 2.51-2.58, 2 Li 2.62, 1 Ga 2.69
3 Ru 0.1579 0.6579 0.5000 x4  6 Ga 2.51-2.58

crystal system = tetragonal



Verdict on stability: #1 comes out at the bottom.



#1
An optimized crystal structure of LiGaRu3, computed with PBE.

Unit cell a=4.5873 b=4.5873 c=4.5873 alpha=90.00 beta=90.00 gamma=90.00
Closest atoms and distances in Å follow each position.
Space group Pm-3m (No. 221)
One atom of each set of equivalent atoms:
1 Li 0.0000 0.0000 0.0000 x1  12 Ru 3.24
2 Ga 0.5000 0.5000 0.5000 x1  6 Ru 2.29
3 Ru 0.0000 0.5000 0.5000 x3  2 Ga 2.29

crystal system = cubic



#2
An optimized crystal structure of LiGaRu3, computed with PBE.

Unit cell a=4.1475 b=4.1475 c=4.1475 alpha=90.00 beta=90.00 gamma=90.00
Closest atoms and distances in Å follow each position.
Space group Pm-3m (No. 221)
One atom of each set of equivalent atoms:
1 Li 0.0000 0.0000 0.0000 x1  6 Ru 2.07
2 Ga 0.5000 0.5000 0.5000 x1  12 Ru 2.93
3 Ru 0.0000 0.0000 0.5000 x3  2 Li 2.07

crystal system = cubic



Verdict on stability: #1 comes out at the bottom.



#1
An optimized crystal structure of Li6Ga2Ru, computed with PBE.

Unit cell a=7.1228 b=13.2482 c=3.0486 alpha=90.00 beta=98.51 gamma=90.00
Closest atoms and distances in Å follow each position.
Space group C2/m (No. 12)
One atom of each set of equivalent atoms:
1 Li 0.1737 0.1677 0.3483 x8  4 Li 2.55-2.77, 3 Ga 2.70-2.83
2 Li 0.1929 0.0000 0.8654 x4  2 Ru 2.60-2.70, 4 Li 2.68-2.72
3 Ga 0.0000 0.3466 0.0000 x4  2 Ru 2.54, 6 Li 2.70-2.83
4 Ru 0.0000 0.5000 0.5000 x2  4 Ga 2.54, 4 Li 2.60-2.70

crystal system = monoclinic



#2
An optimized crystal structure of Li6Ga2Ru, computed with PBE.

Unit cell a=13.2331 b=4.0011 c=5.6391 alpha=90.00 beta=112.18 gamma=90.00
Closest atoms and distances in Å follow each position.
Space group C2/m (No. 12)
One atom of each set of equivalent atoms:
1 Li 0.0976 0.0000 0.1457 x4  4 Li 2.48-2.71, 2 Ga 2.67, 1 Ru 2.76
2 Li 0.1557 0.5000 0.4763 x4  2 Ga 2.64-2.68, 5 Li 2.64-2.92, 2 Ru 2.91
3 Li 0.2071 0.0000 0.8253 x4  1 Ru 2.66, 6 Li 2.71-2.92, 2 Ga 2.81
4 Ga 0.0551 0.5000 0.8089 x4  2 Ru 2.57, 6 Li 2.64-2.81
5 Ru 0.0000 0.0000 0.5000 x2  4 Ga 2.57, 4 Li 2.66-2.76

crystal system = monoclinic



Verdict on stability: #1 comes out at the bottom.



#1
An optimized crystal structure of LiGa3S, computed with PBE.

Unit cell a=4.6534 b=4.6534 c=4.6534 alpha=90.00 beta=90.00 gamma=90.00
Closest atoms and distances in Å follow each position.
Space group Pm-3m (No. 221)
One atom of each set of equivalent atoms:
1 Li 0.0000 0.0000 0.0000 x1  6 Ga 2.33
2 Ga 0.0000 0.0000 0.5000 x3  2 Li 2.33
3 S 0.5000 0.5000 0.5000 x1  12 Ga 3.29

crystal system = cubic



#2
An optimized crystal structure of LiGa3S, computed with PBE.

Unit cell a=5.0378 b=5.0378 c=5.0378 alpha=90.00 beta=90.00 gamma=90.00
Closest atoms and distances in Å follow each position.
Space group Pm-3m (No. 221)
One atom of each set of equivalent atoms:
1 Li 0.0000 0.0000 0.0000 x1  12 Ga 3.56
2 Ga 0.0000 0.5000 0.5000 x3  2 S 2.52
3 S 0.5000 0.5000 0.5000 x1  6 Ga 2.52

crystal system = cubic



Verdict on stability: #2 comes out at the bottom.



#1
An optimized crystal structure of Li3GaS, computed with PBE.

Unit cell a=4.7546 b=4.7546 c=4.7546 alpha=90.00 beta=90.00 gamma=90.00
Closest atoms and distances in Å follow each position.
Space group Pm-3m (No. 221)
One atom of each set of equivalent atoms:
1 Li 0.0000 0.0000 0.5000 x3  2 Ga 2.38
2 Ga 0.0000 0.0000 0.0000 x1  6 Li 2.38
3 S 0.5000 0.5000 0.5000 x1  12 Li 3.36

crystal system = cubic



#2
An optimized crystal structure of Li3GaS, computed with PBE.

Unit cell a=4.5987 b=4.5987 c=4.5987 alpha=90.00 beta=90.00 gamma=90.00
Closest atoms and distances in Å follow each position.
Space group Pm-3m (No. 221)
One atom of each set of equivalent atoms:
1 Li 0.0000 0.0000 0.5000 x3  2 S 2.30
2 Ga 0.5000 0.5000 0.5000 x1  12 Li 3.25
3 S 0.0000 0.0000 0.0000 x1  6 Li 2.30

crystal system = cubic



Verdict on stability: #1 comes out at the bottom.



#1
An optimized crystal structure of LiGaSb, computed with PBE.

Unit cell a=6.3110 b=6.3110 c=6.3110 alpha=90.00 beta=90.00 gamma=90.00
Closest atoms and distances in Å follow each position.
Space group F-43m (No. 216)
One atom of each set of equivalent atoms:
1 Li 0.0000 0.0000 0.0000 x4  4 Ga 2.73, 4 Sb 2.73
2 Ga 0.2500 0.2500 0.7500 x4  4 Li 2.73
3 Sb 0.2500 0.2500 0.2500 x4  4 Li 2.73

crystal system = cubic



#2
An optimized crystal structure of LiGaSb, computed with PBE.

Unit cell a=10.3379 b=4.1660 c=6.9944 alpha=90.00 beta=117.74 gamma=90.00
Closest atoms and distances in Å follow each position.
Space group C2/m (No. 12)
One atom of each set of equivalent atoms:
1 Li 0.0249 0.0000 0.2938 x4  5 Sb 2.91-3.23, 4 Ga 3.06-3.21, 1 Li 3.16
2 Ga 0.1401 0.5000 0.0575 x4  1 Ga 2.62, 3 Sb 2.78-2.86
3 Sb 0.1874 0.5000 0.6862 x4  3 Ga 2.78-2.86, 3 Li 2.91-3.08

crystal system = monoclinic



Verdict on stability: #1 comes out at the bottom.



#1
An optimized crystal structure of LiGaSb, computed with PBE.

Unit cell a=3.8505 b=3.8505 c=8.7023 alpha=90.00 beta=90.00 gamma=90.00
Closest atoms and distances in Å follow each position.
Space group I4mm (No. 107)
One atom of each set of equivalent atoms:
1 Li 0.0000 0.0000 0.0000 x2  1 Ga 2.75, 1 Sb 2.89
2 Ga 0.0000 0.0000 0.6835 x2  1 Li 2.75, 5 Sb 3.01-3.06
3 Sb 0.0000 0.0000 0.3319 x2  5 Li 2.89-3.09, 5 Ga 3.01-3.06

crystal system = tetragonal



#2
An optimized crystal structure of LiGaSb, computed with PBE.

Unit cell a=4.4792 b=4.4792 c=3.8311 alpha=90.00 beta=90.00 gamma=120.00
Closest atoms and distances in Å follow each position.
Space group P3m1 (No. 156)
One atom of each set of equivalent atoms:
1 Li 0.0000 0.0000 0.0000 x1  3 Ga 2.82, 3 Sb 3.00
2 Ga 0.3333 0.6667 0.7086 x1  3 Li 2.82, 3 Sb 2.85
3 Sb 0.6667 0.3333 0.3983 x1  3 Ga 2.85, 3 Li 3.00

crystal system = trigonal



Verdict on stability: #2 comes out at the bottom.



#1
An optimized crystal structure of Li2GaSb2, computed with PBE.

Unit cell a=4.6189 b=4.6189 c=11.6962 alpha=90.00 beta=90.00 gamma=90.00
Closest atoms and distances in Å follow each position.
Space group I4/mmm (No. 139)
One atom of each set of equivalent atoms:
1 Li 0.0000 0.5000 0.2500 x4  4 Sb 2.79
2 Ga 0.0000 0.0000 0.0000 x2  8 Sb 3.54, 8 Li 3.73
3 Sb 0.0000 0.0000 0.3841 x4  1 Sb 2.71, 4 Li 2.79

crystal system = tetragonal



#2
An optimized crystal structure of Li2GaSb2, computed with PBE.

Unit cell a=8.5440 b=8.5440 c=3.0016 alpha=90.00 beta=90.00 gamma=90.00
Closest atoms and distances in Å follow each position.
Space group P4/mbm (No. 127)
One atom of each set of equivalent atoms:
1 Li 0.1216 0.3784 0.0000 x4  6 Sb 2.88-2.98, 3 Li 2.94-3.00
2 Ga 0.0000 0.0000 0.5000 x2  2 Ga 3.00, 4 Sb 3.15
3 Sb 0.1753 0.6753 0.5000 x4  6 Li 2.88-2.98, 2 Sb 3.00, 2 Ga 3.15

crystal system = tetragonal



Verdict on stability: #1 comes out at the bottom.



#1
An optimized crystal structure of Li3GaSb, computed with PBE.

Unit cell a=5.1339 b=5.1339 c=5.1339 alpha=90.00 beta=90.00 gamma=90.00
Closest atoms and distances in Å follow each position.
Space group Pm-3m (No. 221)
One atom of each set of equivalent atoms:
1 Li 0.0000 0.0000 0.5000 x3  2 Sb 2.57
2 Ga 0.5000 0.5000 0.5000 x1  12 Li 3.63
3 Sb 0.0000 0.0000 0.0000 x1  6 Li 2.57

crystal system = cubic



#2
An optimized crystal structure of Li3GaSb, computed with PBE.

Unit cell a=4.7491 b=4.7491 c=4.7491 alpha=90.00 beta=90.00 gamma=90.00
Closest atoms and distances in Å follow each position.
Space group Pm-3m (No. 221)
One atom of each set of equivalent atoms:
1 Li 0.0000 0.0000 0.5000 x3  2 Ga 2.37
2 Ga 0.0000 0.0000 0.0000 x1  6 Li 2.37
3 Sb 0.5000 0.5000 0.5000 x1  12 Li 3.36

crystal system = cubic



Verdict on stability: #2 comes out at the bottom.



#1
An optimized crystal structure of Li2GaSb, computed with PBE.

Unit cell a=3.3305 b=3.3305 c=6.8359 alpha=90.00 beta=90.00 gamma=90.00
Closest atoms and distances in Å follow each position.
Space group P4/mmm (No. 123)
One atom of each set of equivalent atoms:
1 Li 0.0000 0.0000 0.2309 x2  4 Ga 2.84, 4 Sb 2.99, 1 Li 3.16
2 Ga 0.5000 0.5000 0.0000 x1  8 Li 2.84
3 Sb 0.5000 0.5000 0.5000 x1  8 Li 2.99, 4 Sb 3.33

crystal system = tetragonal



#2
An optimized crystal structure of Li2GaSb, computed with PBE.

Unit cell a=4.2208 b=4.2208 c=4.1940 alpha=90.00 beta=90.00 gamma=90.00
Closest atoms and distances in Å follow each position.
Space group P4/mmm (No. 123)
One atom of each set of equivalent atoms:
1 Li 0.0000 0.5000 0.0000 x2  4 Sb 2.98, 4 Ga 2.98, 4 Li 2.98
2 Ga 0.0000 0.0000 0.5000 x1  8 Li 2.98, 4 Sb 2.98
3 Sb 0.5000 0.5000 0.5000 x1  8 Li 2.98, 4 Ga 2.98

crystal system = tetragonal



Verdict on stability: #1 comes out at the bottom.